{"formula": "AcGaGe2", "functional": "GGA-PBE", "state": "relaxed", "cell": [[4.5707, 0.0000, 0.0000], [0.0000, 4.5707, 0.0000], [0.0000, 0.0000, 4.6331]], "species": ["Ac", "Ga", "Ge", "Ge"], "fractional_positions": [[0.0000, 0.0000, 0.0000], [0.5000, 0.5000, 0.0000], [0.0000, 0.5000, 0.5000], [0.5000, 0.0000, 0.5000]], "e_above_lowest_polymorph_ev_per_atom": 0.113, "vol_a3_per_atom": 24.20, "formation_enthalpy_0k_ev_per_atom": -0.35, "final_energy_ev_per_atom": -4.44}

=====

{"formula": "Ac3Ga2Ge4", "functional": "GGA-PBE", "state": "relaxed", "cell": [[6.0152, -2.2032, 0.0000], [6.0152, 2.2032, 0.0000], [-1.0821, 0.0000, 8.8595]], "species": ["Ac", "Ac", "Ac", "Ga", "Ga", "Ge", "Ge", "Ge", "Ge"], "fractional_positions": [[0.0000, 0.0000, 0.0000], [0.3330, 0.3330, 0.3313], [0.6670, 0.6670, 0.6687], [0.3650, 0.3650, 0.6954], [0.6350, 0.6350, 0.3046], [0.0366, 0.0366, 0.3679], [0.2950, 0.2950, 0.9588], [0.7050, 0.7050, 0.0412], [0.9634, 0.9634, 0.6321]], "vol_a3_per_atom": 26.09, "formation_enthalpy_0k_ev_per_atom": -0.64, "final_energy_ev_per_atom": -4.74}

=====

{"formula": "Ac5GaGe4", "functional": "GGA-PBE", "state": "relaxed", "cell": [[-5.0895, 5.0895, 3.2806], [5.0895, -5.0895, 3.2806], [5.0895, 5.0895, -3.2806]], "species": ["Ac", "Ac", "Ac", "Ac", "Ac", "Ga", "Ge", "Ge", "Ge", "Ge"], "fractional_positions": [[0.0000, 0.0000, 0.0000], [0.2932, 0.5036, 0.5856], [0.5036, 0.9180, 0.2104], [0.7077, 0.2932, 0.7896], [0.9180, 0.7077, 0.4144], [0.4649, 0.4649, 0.0000], [0.0079, 0.4056, 0.1874], [0.2182, 0.8205, 0.8126], [0.4056, 0.2182, 0.3977], [0.8205, 0.0079, 0.6023]], "vol_a3_per_atom": 33.99, "formation_enthalpy_0k_ev_per_atom": -0.49, "final_energy_ev_per_atom": -4.69}

=====

{"formula": "Ac4Ga2Ge", "functional": "GGA-PBE", "state": "relaxed", "cell": [[6.0061, 0.0000, 0.0000], [0.0000, 6.0061, 0.0000], [0.0000, 0.0000, 15.4434]], "species": ["Ac", "Ac", "Ac", "Ac", "Ac", "Ac", "Ac", "Ac", "Ga", "Ga", "Ga", "Ga", "Ge", "Ge"], "fractional_positions": [[0.0000, 0.0000, 0.1979], [0.0000, 0.0000, 0.8021], [0.0000, 0.5000, 0.0000], [0.0000, 0.5000, 0.5000], [0.5000, 0.0000, 0.0000], [0.5000, 0.0000, 0.5000], [0.5000, 0.5000, 0.3021], [0.5000, 0.5000, 0.6979], [0.0000, 0.0000, 0.3986], [0.0000, 0.0000, 0.6014], [0.5000, 0.5000, 0.1014], [0.5000, 0.5000, 0.8986], [0.0000, 0.0000, 0.0000], [0.5000, 0.5000, 0.5000]], "e_above_lowest_polymorph_ev_per_atom": 0.170, "vol_a3_per_atom": 39.79, "formation_enthalpy_0k_ev_per_atom": -0.22, "final_energy_ev_per_atom": -4.10}

=====

{"formula": "Ac2Ga7Ge", "functional": "GGA-PBE", "state": "relaxed", "cell": [[4.7412, 0.0000, 0.0000], [0.0000, 4.7412, 0.0000], [0.0000, 0.0000, 9.8941]], "species": ["Ac", "Ac", "Ga", "Ga", "Ga", "Ga", "Ga", "Ga", "Ga", "Ge"], "fractional_positions": [[0.0000, 0.5000, 0.2495], [0.5000, 0.0000, 0.7505], [0.0000, 0.0000, 0.0000], [0.0000, 0.0000, 0.5000], [0.0000, 0.5000, 0.6234], [0.0000, 0.5000, 0.8798], [0.5000, 0.0000, 0.1202], [0.5000, 0.0000, 0.3766], [0.5000, 0.5000, 0.5000], [0.5000, 0.5000, 0.0000]], "vol_a3_per_atom": 22.24, "formation_enthalpy_0k_ev_per_atom": -0.46, "final_energy_ev_per_atom": -3.86}

=====

{"formula": "Ac6GaGe", "functional": "GGA-PBE", "state": "relaxed", "cell": [[7.5053, 0.0000, 0.0000], [0.0000, 13.0956, 0.0000], [-3.1058, 0.0000, 6.8515]], "species": ["Ac", "Ac", "Ac", "Ac", "Ac", "Ac", "Ac", "Ac", "Ac", "Ac", "Ac", "Ac", "Ga", "Ga", "Ge", "Ge"], "fractional_positions": [[0.2362, 0.1835, 0.2523], [0.2362, 0.8165, 0.2523], [0.2446, 0.0000, 0.7527], [0.2554, 0.5000, 0.2473], [0.2638, 0.3165, 0.7477], [0.2638, 0.6835, 0.7477], [0.7362, 0.3165, 0.2523], [0.7362, 0.6835, 0.2523], [0.7446, 0.5000, 0.7527], [0.7554, 0.0000, 0.2473], [0.7638, 0.1835, 0.7477], [0.7638, 0.8165, 0.7477], [0.0000, 0.5000, 0.5000], [0.5000, 0.0000, 0.5000], [0.0000, 0.0000, 0.0000], [0.5000, 0.5000, 0.0000]], "vol_a3_per_atom": 42.09, "formation_enthalpy_0k_ev_per_atom": -0.12, "final_energy_ev_per_atom": -4.15}

=====

{"formula": "Ac4Ga5Ge2", "functional": "GGA-PBE", "state": "relaxed", "cell": [[7.4967, 0.0000, 0.0000], [0.0000, 4.7546, 0.0000], [-0.4640, 0.0000, 8.4676]], "species": ["Ac", "Ac", "Ac", "Ac", "Ga", "Ga", "Ga", "Ga", "Ga", "Ge", "Ge"], "fractional_positions": [[0.2242, 0.0000, 0.1396], [0.2511, 0.0000, 0.6280], [0.7489, 0.0000, 0.3720], [0.7758, 0.0000, 0.8604], [0.1184, 0.5000, 0.8866], [0.4309, 0.5000, 0.3565], [0.5000, 0.5000, 0.0000], [0.5691, 0.5000, 0.6435], [0.8816, 0.5000, 0.1134], [0.0819, 0.5000, 0.3732], [0.9181, 0.5000, 0.6268]], "vol_a3_per_atom": 27.44, "formation_enthalpy_0k_ev_per_atom": -0.56, "final_energy_ev_per_atom": -4.27}

=====

{"formula": "AcGaGe4", "functional": "GGA-PBE", "state": "relaxed", "cell": [[0.0000, 4.0671, 4.0671], [4.0671, 0.0000, 4.0671], [4.0671, 4.0671, 0.0000]], "species": ["Ac", "Ga", "Ge", "Ge", "Ge", "Ge"], "fractional_positions": [[0.0000, 0.0000, 0.0000], [0.7500, 0.7500, 0.7500], [0.3764, 0.3764, 0.3764], [0.3764, 0.3764, 0.8707], [0.3764, 0.8707, 0.3764], [0.8707, 0.3764, 0.3764]], "vol_a3_per_atom": 22.42, "formation_enthalpy_0k_ev_per_atom": -0.18, "final_energy_ev_per_atom": -4.45}